(1)
Ca4Zn3Hg: optimized geometry, PBE.

Unit cell a=3.713 b=3.713 c=14.750 alpha=90.00 beta=90.00 gamma=90.00
Space group P4/mmm (No. 123)
One atom of each set of equivalent atoms:
Ca (0.000, 0.000, 0.123) [2 per cell]
Ca (0.000, 0.000, 0.369) [2 per cell]
Zn (0.500, 0.500, 0.000) [1 per cell]
Zn (0.500, 0.500, 0.245) [2 per cell]
Hg (0.500, 0.500, 0.500) [1 per cell]

Values from the calculation:
Crystal system ... tetragonal
Fermi-level density of states ... 7.7 states/eV per cell
E_tot ... -1.82 eV/atom

(2)
Ca4ZnHg: optimized geometry, PBE.

Unit cell a=3.789 b=3.789 c=12.996 alpha=90.00 beta=90.00 gamma=90.00
Space group P4/mmm (No. 123)
One atom of each set of equivalent atoms:
Ca (0.000, 0.000, 0.135) [2 per cell]
Ca (0.500, 0.500, 0.359) [2 per cell]
Zn (0.500, 0.500, 0.000) [1 per cell]
Hg (0.000, 0.000, 0.500) [1 per cell]

Values from the calculation:
Crystal system ... tetragonal
Fermi-level density of states ... 4.6 states/eV per cell
Distance to the lowest polymorph of the same formula ... 0 meV/atom

(3)
Ca6ZnHg5: optimized geometry, PBE.

Unit cell a=5.364 b=7.465 c=16.117 alpha=90.00 beta=90.00 gamma=90.00
Space group Immm (No. 71)
One atom of each set of equivalent atoms:
Ca (0.000, 0.248, 0.000) [4 per cell]
Ca (0.000, 0.251, 0.334) [8 per cell]
Zn (0.000, 0.500, 0.500) [2 per cell]
Hg (0.000, 0.000, 0.165) [4 per cell]
Hg (0.000, 0.000, 0.500) [2 per cell]
Hg (0.000, 0.500, 0.167) [4 per cell]

Values from the calculation:
Crystal system ... orthorhombic
Fermi-level density of states ... 18.2 states/eV per cell
E_tot ... -1.73 eV/atom

Question: What is the formula in the first record?
Answer: Ca4Zn3Hg

Question: What is the Fermi-level density of states in the third record?
Answer: 18.2 states/eV per cell

Question: What is the formula in the first record?
Answer: Ca4Zn3Hg

Question: The highest Fermi-level density of states belongs to which entry?
Answer: Ca6ZnHg5